Entry 1:
Computed, not measured: a relaxed structure of CaAcTmSc at the GGA-PBE level of DFT.

Formation enthalpy at 0 K in meV per atom: 162
ρ in Mg/m³: 5.9
Total moment in Bohr magnetons per cell: 0.00

Cell: 8.1676 8.1676 8.1676 Å, 90.00 90.00 90.00°
Space group F-43m (No. 216)
Inequivalent atoms, fractional coordinates:
Ca  0.0000  0.0000  0.0000 (multiplicity 4)
Ac  0.2500  0.2500  0.7500 (multiplicity 4)
Tm  0.2500  0.2500  0.2500 (multiplicity 4)
Sc  0.0000  0.0000  0.5000 (multiplicity 4)

Entry 2:
Computed, not measured: a relaxed structure of V3ReGe at the GGA-PBE level of DFT.

ΔE to the lowest computed polymorph in kJ/mol of formula units: 708.6
Formation enthalpy at 0 K in meV per atom: 1225
ρ in Mg/m³: 8.1
Total moment in Bohr magnetons per cell: 0.30

Cell: 4.3836 4.3836 4.3836 Å, 90.00 90.00 90.00°
Space group Pm-3m (No. 221)
Inequivalent atoms, fractional coordinates:
V  0.0000  0.0000  0.5000 (multiplicity 3)
Re  0.5000  0.5000  0.5000 (multiplicity 1)
Ge  0.0000  0.0000  0.0000 (multiplicity 1)

Entry 3:
Computed, not measured: a relaxed structure of PtRh4 at the GGA-PBE level of DFT.

ΔE to the lowest computed polymorph in kJ/mol of formula units: 65.5
Formation enthalpy at 0 K in meV per atom: 120
ρ in Mg/m³: 13.7
Total moment in Bohr magnetons per cell: 0.00

Cell: 3.9951 5.4069 13.6653 Å, 90.00 90.00 90.00°
Space group Imma (No. 74)
Inequivalent atoms, fractional coordinates:
Pt  0.0000  0.2500  0.1007 (multiplicity 4)
Rh  0.0000  0.0000  0.5000 (multiplicity 4)
Rh  0.0000  0.0006  0.6928 (multiplicity 8)
Rh  0.0000  0.2500  0.8968 (multiplicity 4)

Entry 4:
Computed, not measured: a relaxed structure of Be2SiSb at the GGA-PBE level of DFT.

ΔE to the lowest computed polymorph in kJ/mol of formula units: 60.6
ρ in Mg/m³: 4.2
Total moment in Bohr magnetons per cell: 0.00
E_form (uncorrected) in meV per atom: 477

Cell: 3.8366 5.0072 6.9918 Å, 90.00 90.00 90.00°
Space group Cmm2 (No. 35)
Inequivalent atoms, fractional coordinates:
Be  0.0000  0.0000  0.0000 (multiplicity 2)
Be  0.0000  0.5000  0.1485 (multiplicity 2)
Si  0.0000  0.5000  0.8254 (multiplicity 2)
Sb  0.0000  0.0000  0.3869 (multiplicity 2)

Entry 5:
Computed, not measured: a relaxed structure of Ir4Pt3W at the GGA-PBE level of DFT.

Formation enthalpy at 0 K in meV per atom: 123
ρ in Mg/m³: 20.6
Total moment in Bohr magnetons per cell: 0.00

Cell: 5.0091 2.7513 9.1497 Å, 90.00 100.48 90.00°
Space group P2/m (No. 10)
Inequivalent atoms, fractional coordinates:
Ir  0.0762  0.0000  0.2576 (multiplicity 2)
Ir  0.2511  0.0000  0.9989 (multiplicity 2)
Pt  0.4121  0.5000  0.7563 (multiplicity 2)
Pt  0.5000  0.0000  0.5000 (multiplicity 1)
W  0.0000  0.5000  0.5000 (multiplicity 1)

Entry 6:
Computed, not measured: a relaxed structure of Sc2MnZnN at the GGA-PBE level of DFT.

ρ in Mg/m³: 5.1
Total moment in Bohr magnetons per cell: 0.00
E_form (uncorrected) in meV per atom: -797

Cell: 4.5022 4.5022 3.6287 Å, 90.00 90.00 90.00°
Space group P4/mmm (No. 123)
Inequivalent atoms, fractional coordinates:
Sc  0.0000  0.5000  0.0000 (multiplicity 2)
Mn  0.0000  0.0000  0.5000 (multiplicity 1)
Zn  0.5000  0.5000  0.5000 (multiplicity 1)
N  0.0000  0.0000  0.0000 (multiplicity 1)